Record 1
{
  "formula": "InReIN2",
  "functional": "PBE-GGA",
  "state": "relaxed",
  "lattice_angstrom": [[-0.501, 2.893, -2.950], [-3.969, 0.490, 1.155], [1.852, 4.752, 4.346]],
  "species": ["I", "Re", "N", "N", "In"],
  "fractional_positions": [[0.000, 0.000, 0.500], [0.500, 0.500, 0.500], [0.000, 0.500, 0.000], [0.500, 0.000, 0.000], [0.000, 0.000, 0.000]],
  "volume_a3_per_cell": 116.1,
  "polymorph_energy_mev_per_atom": 1572.8,
  "spacegroup": "P4/mmm, No. 123",
  "crystal_system": "tetragonal",
  "final_energy_ev_per_atom": -4.351,
  "raw_formation_energy_ev_per_fu": 11.63
}

Record 2
{
  "formula": "InReIN2",
  "functional": "PBE-GGA",
  "state": "relaxed",
  "lattice_angstrom": [[4.049, 0.000, 0.000], [0.000, 4.049, 0.000], [0.000, 0.000, 5.718]],
  "species": ["I", "Re", "N", "N", "In"],
  "fractional_positions": [[0.000, 0.000, 0.500], [0.000, 0.000, 0.000], [0.000, 0.500, 0.000], [0.500, 0.000, 0.000], [0.500, 0.500, 0.500]],
  "volume_a3_per_cell": 93.7,
  "polymorph_energy_mev_per_atom": 0.0,
  "spacegroup": "P4/mmm, No. 123",
  "crystal_system": "tetragonal",
  "final_energy_ev_per_atom": -5.923,
  "raw_formation_energy_ev_per_fu": 3.77
}

Record 3
{
  "formula": "In2RhIN",
  "functional": "PBE-GGA",
  "state": "relaxed",
  "lattice_angstrom": [[5.854, 0.000, 0.000], [0.000, 3.919, 0.000], [0.000, 0.000, 5.854]],
  "species": ["I", "N", "Rh", "In", "In"],
  "fractional_positions": [[0.000, 0.000, 0.000], [0.000, 0.500, 0.000], [0.500, 0.500, 0.500], [0.000, 0.000, 0.500], [0.500, 0.000, 0.000]],
  "volume_a3_per_cell": 134.3,
  "spacegroup": "P4/mmm, No. 123",
  "crystal_system": "tetragonal",
  "final_energy_ev_per_atom": -3.013,
  "raw_formation_energy_ev_per_fu": 7.64
}

What did the second record say?
{
  "formula": "InReIN2",
  "functional": "PBE-GGA",
  "state": "relaxed",
  "lattice_angstrom": [[4.049, 0.000, 0.000], [0.000, 4.049, 0.000], [0.000, 0.000, 5.718]],
  "species": ["I", "Re", "N", "N", "In"],
  "fractional_positions": [[0.000, 0.000, 0.500], [0.000, 0.000, 0.000], [0.000, 0.500, 0.000], [0.500, 0.000, 0.000], [0.500, 0.500, 0.500]],
  "volume_a3_per_cell": 93.7,
  "polymorph_energy_mev_per_atom": 0.0,
  "spacegroup": "P4/mmm, No. 123",
  "crystal_system": "tetragonal",
  "final_energy_ev_per_atom": -5.923,
  "raw_formation_energy_ev_per_fu": 3.77
}